# 1
DFT (PBE) results for a relaxed Cs2CrInPb crystal.

Computed properties:
- calculated formation energy (meV per atom) = 571.3

abc: 6.470 5.343 6.470
angles: 90.00 90.00 90.00
Sites, in units of the cell vectors:
Cs 0.500 0.000 0.000
Cs 0.000 0.000 0.500
Pb 0.000 0.500 0.000
In 0.500 0.500 0.500
Cr 0.000 0.000 0.000


# 2
DFT (PBE) results for a relaxed Cs2CrInS4 crystal.

Computed properties:
- uncorrected formation energy (kJ/mol of atoms) = -81.7

abc: 6.373 7.732 12.749
angles: 84.09 75.53 65.66
Sites, in units of the cell vectors:
S 0.878 0.683 0.599
S 0.590 0.183 0.099
S 0.160 0.317 0.401
S 0.440 0.683 0.401
S 0.523 0.317 0.599
S 0.227 0.183 0.901
S 0.872 0.817 0.901
S 0.310 0.817 0.099
Cr 0.500 0.000 0.000
Cr 0.250 0.500 0.500
Cs 0.928 0.500 0.143
Cs 0.822 0.000 0.357
Cs 0.572 0.500 0.857
Cs 0.178 0.000 0.643
In 0.000 0.000 0.000
In 0.750 0.500 0.500


# 3
DFT (PBE) results for a relaxed CsCrInSb2 crystal.

Computed properties:
- uncorrected formation energy (kJ/mol of atoms) = 199.1

abc: 5.943 5.086 5.943
angles: 90.00 90.00 90.00
Sites, in units of the cell vectors:
Cs 0.000 0.000 0.000
Sb 0.500 0.000 0.000
Sb 0.000 0.000 0.500
Cr 0.000 0.500 0.000
In 0.500 0.500 0.500


Number 1: spin magnetization 4.2 μB per cell, calculated volume 44.734 A^3/atom. Number 2: spin magnetization 6.0 μB per cell, calculated volume 34.641 A^3/atom. Number 3: spin magnetization 0.3 μB per cell, calculated volume 35.932 A^3/atom.